SCAN Mg2TlAs2, single point on PBEsol structure; distance to the lowest polymorph of the same formula = 76.2 meV per atom; symmetry = P4/mbm, No. 127; ΔH_f (0 K) = -0.28 eV per atom
1.0
-1.301 1.543 -2.448
4.404 -4.503 -5.177
-5.991 -5.521 -0.294
Mg Tl As
4 2 4
direct
0.500 0.141 0.641
0.500 0.641 0.859
0.500 0.859 0.359
0.500 0.359 0.141
0.000 0.000 0.000
0.000 0.500 0.500
0.000 0.345 0.845
0.000 0.845 0.655
0.000 0.655 0.155
0.000 0.155 0.345